A plane-wave DFT calculation with PBE was carried out for an optimized crystal structure of AlTeMo2.

Values from the calculation:
The calculation puts the excess energy over the best structure of this formula in the dataset at 0.88 eV per formula unit. As for the symmetry: C2/m.

Cell lengths 4.8019, 4.8019, 4.9777 Å; angles 82.02, 82.02, 40.62 degrees
Fractional coordinates of all 4 atoms:
Mo: 0.9998 0.9998 0.0562
Mo: 0.5002 0.5002 0.4438
Al: 0.2500 0.2500 0.2500
Te: 0.7500 0.7500 0.7500


A plane-wave DFT calculation with PBE was carried out for an optimized crystal structure of AlTeMo2.

Values from the calculation:
The calculation puts the excess energy over the best structure of this formula in the dataset at 0.73 eV per formula unit. As for the symmetry: P4/mmm.

Cell lengths 3.3083, 3.3083, 6.2502 Å; angles 90.00, 90.00, 90.00 degrees
Fractional coordinates of all 4 atoms:
Te: 0.5000 0.5000 0.2500
Mo: 0.0000 0.0000 0.5286
Mo: 0.0000 0.0000 0.9714
Al: 0.5000 0.5000 0.7500


A plane-wave DFT calculation with PBE was carried out for an optimized crystal structure of AlTeMo2.

Values from the calculation:
The calculation puts the excess energy over the best structure of this formula in the dataset at 0.84 eV per formula unit. As for the symmetry: Pmm2.

Cell lengths 4.7311, 3.1593, 4.6428 Å; angles 89.99, 90.00, 90.00 degrees
Fractional coordinates of all 4 atoms:
Mo: 0.0000 0.8748 0.0309
Mo: 0.5000 0.3751 0.2107
Al: 0.5000 0.8753 0.7198
Te: 0.0000 0.3748 0.5385


A plane-wave DFT calculation with PBE was carried out for an optimized crystal structure of AlTeMo2.

Values from the calculation:
The calculation puts the excess energy over the best structure of this formula in the dataset at 1.25 eV per formula unit. As for the symmetry: R-3m.

Cell lengths 8.7086, 8.7086, 8.7086 Å; angles 20.44, 20.44, 20.44 degrees
Fractional coordinates of all 4 atoms:
Mo: 0.5004 0.5004 0.5004
Mo: 0.9996 0.9996 0.9996
Al: 0.7500 0.7500 0.7500
Te: 0.2500 0.2500 0.2500


A plane-wave DFT calculation with PBE was carried out for an optimized crystal structure of AlTeMo2.

Values from the calculation:
The calculation puts the excess energy over the best structure of this formula in the dataset at 0.75 eV per formula unit. As for the symmetry: R3m.

Cell lengths 8.5565, 8.5565, 8.5565 Å; angles 21.71, 21.71, 21.71 degrees
Fractional coordinates of all 4 atoms:
Al: 0.7421 0.7421 0.7421
Mo: 0.9962 0.9962 0.9962
Mo: 0.2571 0.2571 0.2571
Te: 0.5046 0.5046 0.5046


A plane-wave DFT calculation with PBE was carried out for an optimized crystal structure of AlTe2Mo.

Values from the calculation:
As for the symmetry: P2/m.

Cell lengths 3.8042, 6.4410, 6.4735 Å; angles 45.64, 90.00, 90.00 degrees
Fractional coordinates of all 4 atoms:
Te: 0.0000 0.5892 0.5878
Te: 0.0000 0.9108 0.9122
Mo: 0.5000 0.7500 0.7500
Al: 0.5000 0.2500 0.2500


A plane-wave DFT calculation with PBE was carried out for an optimized crystal structure of AlTeMo2.

Values from the calculation:
The calculation puts the excess energy over the best structure of this formula in the dataset at 0.00 eV per formula unit. As for the symmetry: P4mm.

Cell lengths 3.3730, 3.3730, 6.0221 Å; angles 90.00, 90.00, 90.00 degrees
Fractional coordinates of all 4 atoms:
Mo: 0.5000 0.5000 0.2528
Mo: 0.0000 0.0000 0.9714
Te: 0.0000 0.0000 0.4880
Al: 0.5000 0.5000 0.7878


A plane-wave DFT calculation with PBE was carried out for an optimized crystal structure of AlTeMo2.

Values from the calculation:
The calculation puts the excess energy over the best structure of this formula in the dataset at 0.46 eV per formula unit. As for the symmetry: Cm.

Cell lengths 4.9599, 4.9599, 4.7421 Å; angles 73.48, 73.48, 38.13 degrees
Fractional coordinates of all 4 atoms:
Mo: 0.0000 0.0000 0.0539
Mo: 0.7460 0.7460 0.7171
Al: 0.2591 0.2591 0.1967
Te: 0.4951 0.4951 0.5323


A plane-wave DFT calculation with PBE was carried out for an optimized crystal structure of AlTeMo2.

Values from the calculation:
The calculation puts the excess energy over the best structure of this formula in the dataset at 1.81 eV per formula unit. As for the symmetry: I-42d.

Cell lengths 4.0685, 4.0685, 9.8213 Å; angles 78.05, 78.05, 90.00 degrees
Fractional coordinates of all 8 atoms:
Te: 0.7500 0.2500 0.5000
Te: 0.0000 0.0000 0.0000
Mo: 0.3750 0.4327 0.7500
Mo: 0.1827 0.6250 0.2500
Mo: 0.5673 0.1250 0.2500
Mo: 0.8750 0.8173 0.7500
Al: 0.5000 0.5000 0.0000
Al: 0.2500 0.7500 0.5000


A plane-wave DFT calculation with PBE was carried out for an optimized crystal structure of AlTeMo2.

Values from the calculation:
The calculation puts the excess energy over the best structure of this formula in the dataset at 1.14 eV per formula unit. As for the symmetry: P2/m.

Cell lengths 4.6089, 3.3859, 5.1271 Å; angles 97.63, 90.00, 90.00 degrees
Fractional coordinates of all 4 atoms:
Mo: 0.0000 0.4307 0.5658
Mo: 0.0000 0.0693 0.9342
Al: 0.5000 0.7500 0.7500
Te: 0.5000 0.2500 0.2500


A plane-wave DFT calculation with PBE was carried out for an optimized crystal structure of AlTeMo2.

Values from the calculation:
The calculation puts the excess energy over the best structure of this formula in the dataset at 1.22 eV per formula unit. As for the symmetry: Cmm2.

Cell lengths 2.9446, 2.9446, 9.2773 Å; angles 90.00, 90.00, 111.11 degrees
Fractional coordinates of all 4 atoms:
Mo: 0.5000 0.5000 0.2240
Mo: 0.0000 0.0000 0.0083
Te: 0.0000 0.0000 0.4825
Al: 0.5000 0.5000 0.7851


A plane-wave DFT calculation with PBE was carried out for an optimized crystal structure of AlTe2Mo.

Values from the calculation:
As for the symmetry: Pmmm.

Cell lengths 3.6077, 5.5093, 4.3612 Å; angles 90.00, 90.00, 90.00 degrees
Each line ends with the local moment (μB).
Fractional coordinates of all 4 atoms:
Al: 0.5000 0.0000 0.5000  0.00
Te: 0.5000 0.5000 0.0000  -0.01
Te: 0.0000 0.0000 0.0000  -0.01
Mo: 0.0000 0.5000 0.5000  0.38


What are the ΔE_f (raw) values for these records? In order: 0.270, 0.234, 0.261, 0.364, 0.237, 0.257, 0.051, 0.166, 0.502, 0.337, 0.356, 0.626 eV per atom.
What are the mass density values for these records? In order: 7785, 8410, 8290, 8160, 7660, 5537, 8397, 8375, 7403, 7255, 7666, 7243 kg/m³.
What are the E_tot values for these records? In order: -6.87, -6.90, -6.88, -6.77, -6.90, -4.96, -7.09, -6.97, -6.63, -6.80, -6.78, -4.59 eV/atom.